(1)
Compound: Y2Nb2Si2C
Source: Alexandria via LeMat-Bulk
Functional: PBE-GGA
Structure: optimized geometry

The structure in POSCAR format:
```
Y2Nb2Si2C
1.0
-0.016 4.062 -1.247
-2.686 -0.976 -3.145
-4.448 -0.175 6.725
Y Nb Si C
2 2 2 1
Cartesian
-1.948 0.460 1.521 Y
-5.202 2.451 0.811 Y
-1.343 -0.488 -1.572 Nb
-0.008 2.031 -0.624 Nb
-4.344 1.025 3.392 Si
-2.806 1.886 -1.060 Si
0.000 0.000 0.000 C
```

***

(2)
Compound: SmNbC2
Source: Alexandria via LeMat-Bulk
Functional: PBE-GGA
Structure: optimized geometry

The structure in POSCAR format:
```
SmNbC2
1.0
4.276 0.000 -0.001
0.000 3.655 0.000
0.002 0.000 7.925
Sm Nb C
2 2 4
Cartesian
0.861 3.137 6.068 Sm
2.998 1.309 3.567 Sm
0.860 3.136 1.517 Nb
2.998 1.309 0.193 Nb
2.998 3.136 1.375 C
2.999 1.311 6.055 C
0.861 3.138 3.580 C
0.860 1.309 0.335 C
```

The value obtained for the formation energy is -240 meV per atom.

***

(3)
Compound: SmNbC2
Source: Alexandria via LeMat-Bulk
Functional: PBE-GGA
Structure: optimized geometry

The structure in POSCAR format:
```
SmNbC2
1.0
3.355 0.000 0.000
1.677 2.905 0.000
1.677 0.968 5.734
Nb C Sm
1 2 1
Cartesian
0.000 0.000 0.000 Nb
1.677 0.968 1.212 C
5.032 2.905 4.522 C
3.355 1.937 2.867 Sm
```

The value obtained for the formation energy is -262 meV per atom.

***

(4)
Compound: SmNb2TcC4
Source: Alexandria via LeMat-Bulk
Functional: PBE-GGA
Structure: optimized geometry

The structure in POSCAR format:
```
SmNb2TcC4
1.0
3.289 0.000 0.000
-1.644 5.716 0.000
0.000 0.000 11.215
Sm Nb Tc C
2 4 2 8
Cartesian
0.000 1.196 8.411 Sm
1.644 4.521 2.804 Sm
0.000 4.242 6.016 Nb
1.644 1.474 0.409 Nb
1.644 1.474 5.198 Nb
0.000 4.242 10.806 Nb
1.644 3.892 8.411 Tc
0.000 1.824 2.804 Tc
0.000 3.014 1.265 C
1.644 2.702 6.873 C
1.644 2.702 9.949 C
0.000 3.014 4.342 C
0.000 0.000 5.607 C
0.000 0.000 0.000 C
0.000 4.986 8.411 C
1.644 0.730 2.804 C
```

The value obtained for the formation energy is -189 meV per atom.

***

(5)
Compound: Nb7Sn2C2
Source: Alexandria via LeMat-Bulk
Functional: PBE-GGA
Structure: optimized geometry

The structure in POSCAR format:
```
Nb7Sn2C2
1.0
-2.334 -0.887 -5.291
5.616 -1.454 -1.667
1.304 -5.814 0.965
Nb Sn C
7 2 2
Cartesian
4.248 -4.886 -4.955 Nb
2.287 -1.299 -2.227 Nb
0.339 -3.268 -1.038 Nb
2.300 -6.855 -3.766 Nb
-1.167 -0.443 -2.646 Nb
3.150 -4.377 -2.091 Nb
1.437 -3.777 -3.902 Nb
2.175 -4.934 0.434 Sn
4.746 -2.334 -1.136 Sn
0.349 -2.111 -2.926 C
4.238 -6.043 -3.067 C
```

The value obtained for the formation energy is -2 meV per atom.

***

(6)
Compound: Nb8SnC2
Source: Alexandria via LeMat-Bulk
Functional: PBE-GGA
Structure: optimized geometry

The structure in POSCAR format:
```
Nb8SnC2
1.0
4.658 0.772 0.586
0.913 7.510 2.281
0.913 4.219 6.618
Nb Sn C
8 1 2
Cartesian
2.965 6.496 6.678 Nb
3.520 4.320 5.027 Nb
2.461 9.267 7.031 Nb
4.024 3.234 2.453 Nb
2.965 8.181 4.458 Nb
3.520 6.005 2.806 Nb
5.244 7.919 6.009 Nb
1.241 4.581 3.476 Nb
0.000 0.000 0.000 Sn
4.810 9.578 7.268 C
1.674 2.922 2.217 C
```

The value obtained for the formation energy is 114 meV per atom.

***

(7)
Compound: Nb6Sn2C
Source: Alexandria via LeMat-Bulk
Functional: PBE-GGA
Structure: optimized geometry

The structure in POSCAR format:
```
Nb6Sn2C
1.0
5.954 0.000 0.179
0.000 5.897 0.000
-0.529 0.000 9.068
Nb Sn C
12 4 2
Cartesian
5.660 0.075 2.461 Nb
4.272 4.253 4.697 Nb
4.121 4.333 9.159 Nb
4.016 1.385 4.712 Nb
3.866 1.305 9.174 Nb
3.006 3.023 2.342 Nb
-0.235 5.822 6.786 Nb
1.153 1.644 4.550 Nb
1.304 1.564 0.089 Nb
1.409 4.512 4.535 Nb
1.559 4.592 0.073 Nb
2.419 2.874 6.906 Nb
5.438 2.859 6.985 Sn
2.699 5.808 6.886 Sn
2.726 0.090 2.361 Sn
-0.013 3.038 2.263 Sn
2.977 2.949 0.090 C
-0.264 0.000 4.534 C
```

The value obtained for the formation energy is -147 meV per atom.

***

(8)
Compound: Nb6SnC
Source: Alexandria via LeMat-Bulk
Functional: PBE-GGA
Structure: optimized geometry

The structure in POSCAR format:
```
Nb6SnC
1.0
5.391 -1.004 -0.022
1.809 4.499 0.992
2.317 2.055 5.876
Nb Sn C
6 1 1
Cartesian
7.587 2.859 4.628 Nb
7.472 5.008 6.294 Nb
4.781 0.332 1.673 Nb
2.045 0.543 0.553 Nb
1.929 2.692 2.218 Nb
4.736 5.218 5.173 Nb
4.758 2.775 3.423 Sn
0.000 0.000 0.000 C
```

The value obtained for the formation energy is -94 meV per atom.

***

| no. | final energy (eV/cell) | size of the total moment (μB/cell) | DOS at the Fermi energy (states/eV/cell) |
| --- | --- | --- | --- |
| 1 | -57.41 | 0.0 | 4.18 |
| 2 | -68.39 | 0.0 | 2.23 |
| 3 | -34.28 | 0.0 | 0.75 |
| 4 | -147.26 | 0.0 | 5.12 |
| 5 | -96.96 | 0.0 | 5.70 |
| 6 | -101.75 | 0.0 | 6.69 |
| 7 | -157.94 | 0.0 | 13.89 |
| 8 | -74.40 | 0.0 | 4.96 |